This record from the Alexandria database describes an optimized crystal structure of LiHf. The functional is PBE.

abc: 7.993 7.993 7.993
angles: 109.47 109.47 109.47
Sites, in units of the cell vectors:
Li1 0.000 0.000 0.610
Li2 0.000 0.610 0.000
Li3 0.390 0.390 0.390
Li4 0.610 0.000 0.000
Hf1 0.000 0.000 0.214
Hf2 0.000 0.214 0.000
Hf3 0.214 0.000 0.000
Hf4 0.786 0.786 0.786

Output
**Energy relative to the lowest polymorph listed for this composition**: 1115 meV/atom
**ΔH_f (0 K)**: 1439 meV per atom

***

This record from the Alexandria database describes an optimized crystal structure of LiLa4Al3O12. The functional is PBE.

abc: 6.636 6.636 6.636
angles: 109.47 109.47 109.47
Sites, in units of the cell vectors:
Li1 0.000 0.000 0.000
La1 0.000 0.000 0.500
La2 0.000 0.500 0.000
La3 0.500 0.000 0.000
La4 0.500 0.500 0.500
Al1 0.000 0.500 0.500
Al2 0.500 0.000 0.500
Al3 0.500 0.500 0.000
O1 0.000 0.261 0.261
O2 0.000 0.739 0.739
O3 0.250 0.500 0.750
O4 0.250 0.750 0.500
O5 0.261 0.000 0.261
O6 0.261 0.261 0.000
O7 0.500 0.250 0.750
O8 0.500 0.750 0.250
O9 0.739 0.000 0.739
O10 0.739 0.739 0.000
O11 0.750 0.250 0.500
O12 0.750 0.500 0.250

Output
**Uncorrected formation energy**: -2.955 eV per atom

***

This record from the Alexandria database describes an optimized crystal structure of PbI2NO. The functional is PBE.

abc: 5.522 5.522 4.023
angles: 90.00 90.00 90.00
Sites, in units of the cell vectors:
Pb1 0.000 0.000 0.000
I1 0.000 0.500 0.500
I2 0.500 0.000 0.500
N1 0.500 0.500 0.000
O1 0.500 0.500 0.500

Output
**Energy relative to the lowest polymorph listed for this composition**: 158 meV/atom
**Uncorrected formation energy**: 1.063 eV per atom

***

This record from the Alexandria database describes an optimized crystal structure of ReTe2Mo. The functional is PBE.

abc: 3.827 4.030 6.742
angles: 90.00 91.90 90.00
Sites, in units of the cell vectors:
Re1 0.000 0.000 0.000
Te1 0.501 0.000 0.714
Te2 0.920 0.500 0.278
Mo1 0.419 0.500 0.991

Output
**Energy relative to the lowest polymorph listed for this composition**: 0 meV/atom
**Uncorrected formation energy**: 0.205 eV per atom

***

This record from the Alexandria database describes an optimized crystal structure of Sc3AgTe. The functional is PBE.

abc: 5.277 5.277 5.277
angles: 90.00 90.00 90.00
Sites, in units of the cell vectors:
Sc1 0.000 0.000 0.500
Sc2 0.000 0.500 0.000
Sc3 0.500 0.000 0.000
Ag1 0.500 0.500 0.500
Te1 0.000 0.000 0.000

Output
**Energy relative to the lowest polymorph listed for this composition**: 181 meV/atom
**Uncorrected formation energy**: 0.190 eV per atom

***

This record from the Alexandria database describes an optimized crystal structure of La2Er2Tl. The functional is PBE.

abc: 8.924 8.924 8.924
angles: 33.73 33.73 33.73
Sites, in units of the cell vectors:
La1 0.064 0.064 0.064
La2 0.936 0.936 0.936
Er1 0.200 0.200 0.200
Er2 0.800 0.800 0.800
Tl1 0.500 0.500 0.500

Output
**ΔH_f (0 K)**: 408 meV per atom

***

This record from the Alexandria database describes an optimized crystal structure of Tb3Ho9Th2. The functional is PBE.

abc: 9.859 9.859 5.601
angles: 105.47 105.47 62.75
Sites, in units of the cell vectors:
Tb1 0.000 0.000 0.000
Tb2 0.602 0.602 0.609
Tb3 0.720 0.720 0.222
Ho1 0.043 0.378 0.206
Ho2 0.079 0.735 0.405
Ho3 0.268 0.942 0.605
Ho4 0.339 0.681 0.020
Ho5 0.378 0.043 0.206
Ho6 0.393 0.393 0.458
Ho7 0.681 0.339 0.020
Ho8 0.735 0.079 0.405
Ho9 0.942 0.268 0.605
Th1 0.617 0.980 0.795
Th2 0.980 0.617 0.795

Output
**ΔH_f (0 K)**: 209 meV per atom

***

This record from the Alexandria database describes an optimized crystal structure of ErMgPd3. The functional is PBE.

abc: 7.533 7.405 5.410
angles: 70.04 67.51 42.45
Sites, in units of the cell vectors:
Er1 0.213 0.787 0.213
Er2 0.787 0.213 0.787
Mg1 0.250 0.250 0.250
Mg2 0.750 0.750 0.750
Pd1 0.208 0.208 0.792
Pd2 0.208 0.586 0.792
Pd3 0.414 0.792 0.586
Pd4 0.586 0.208 0.414
Pd5 0.792 0.414 0.208
Pd6 0.792 0.792 0.208

Output
**ΔH_f (0 K)**: -736 meV per atom

***

In eV per atom, the electronic total energy values for the records above are, in order, -4.4944, -7.5730, -2.9554, -7.1855, -4.8073, -3.8616, -4.7864, -5.0835.